[1]
A crystal of HfSbPdPb2 relaxed with PBEsol, computed with meta-GGA SCAN.

extended XYZ file:
```
5
Lattice="4.832 0.000 0.000 0.000 5.548 0.000 0.000 0.000 5.548" Properties=species:S:1:pos:R:3 pbc="T T T"
Sb 2.416 2.774 2.774
Hf 0.000 0.000 0.000
Pb 0.000 0.000 2.774
Pb 0.000 2.774 0.000
Pd 2.416 0.000 0.000
```

Values from the calculation:
ρ   9.2 Mg/m³
Total moment   0.000 μB/cell
Crystal system   tetragonal
Energy relative to the elements, uncorrected   601 meV per atom

=====

[2]
A crystal of NiIr2W relaxed with PBEsol, computed with meta-GGA SCAN.

extended XYZ file:
```
4
Lattice="3.832 0.000 0.000 0.000 3.832 0.000 -1.916 -1.916 3.699" Properties=species:S:1:pos:R:3 pbc="T T T"
Ir 0.000 1.916 1.850
Ir 1.916 0.000 1.850
W 1.916 1.916 0.000
Ni 0.000 0.000 0.000
```

Values from the calculation:
ρ   19.2 Mg/m³
Total moment   0.424 μB/cell
Crystal system   tetragonal
DFT formation energy   -1.170 eV per formula unit

=====

[3]
A crystal of Mg3HgSb relaxed with PBEsol, computed with meta-GGA SCAN.

extended XYZ file:
```
5
Lattice="-2.841 -0.350 -4.532 4.386 -1.616 -2.624 -1.194 -5.099 1.143" Properties=species:S:1:pos:R:3 pbc="T T T"
Hg 0.175 -3.532 -3.007
Sb 0.000 0.000 0.000
Mg 2.193 -0.808 -1.312
Mg -1.421 -0.175 -2.266
Mg -0.597 -2.549 0.571
```

Values from the calculation:
ρ   4.3 Mg/m³
Total moment   0.000 μB/cell
Crystal system   cubic
Energy relative to the elements, uncorrected   286 meV per atom

=====

[4]
A crystal of SnPbWSe2 relaxed with PBEsol, computed with meta-GGA SCAN.

extended XYZ file:
```
5
Lattice="-0.147 -0.752 -4.713 -4.365 -1.887 0.437 -2.322 5.197 -0.757" Properties=species:S:1:pos:R:3 pbc="T T T"
Pb -1.161 2.598 -0.379
Se -2.182 -0.943 0.218
Se -0.073 -0.376 -2.357
W 0.000 0.000 0.000
Sn -3.417 1.279 -2.517
```

Values from the calculation:
ρ   8.5 Mg/m³
Total moment   0.000 μB/cell
Crystal system   tetragonal
Energy relative to the elements, uncorrected   426 meV per atom

=====

Question: The lowest ρ belongs to which entry?
Answer: Mg3HgSb